DFT (PBE-GGA) results for TiAs2BrF after structural relaxation.

The structure in POSCAR format:
```
TiAs2BrF
1.0
4.892 0.000 0.000
0.000 4.892 0.000
0.000 0.000 4.916
Ti As Br F
1 2 1 1
Direct
0.000 0.000 0.000
0.000 0.500 0.000
0.500 0.000 0.000
0.000 0.000 0.500
0.500 0.500 0.500
```

## Properties
The calculation puts the raw formation energy at -22.2 kJ per mole of atoms. For the total moment, the calculation gives 0.0 Bohr magnetons per cell. As for the energy above the lowest structure with this stoichiometry: 0 meV/atom.